Crystalline Mg3URu4 at its relaxed geometry. Source: the Alexandria database, functional PBE-GGA.

Cell: 4.5098 4.5374 6.9711 Å, 106.01 108.87 90.00°
Atoms (fractional coordinates):
Ru 0.3805 0.3420 0.7610
Ru 0.6195 0.6580 0.2390
Ru 0.1205 0.1171 0.2409
Ru 0.8795 0.8829 0.7591
Mg 0.0000 0.5000 0.0000
Mg 0.7552 0.2683 0.5105
Mg 0.2448 0.7317 0.4895
U 0.5000 0.0000 0.0000

Properties
E_form: -0.21 eV/atom
VASP energy: -6.861 eV/atom